BiIr2AuC: relaxed, PBE.

Values from the calculation:
Energy of formation ... 3.048 eV/atom
Volume ... 27.0 Å³/atom
Total magnetization ... 0.03 μB/atom
DFT total energy ... -18.9 eV per cell

Cell: 5.050 5.050 5.296 Å, 90.00 90.00 90.00°
Sites, in units of the cell vectors:
Bi 0.000 0.000 0.000
Ir 0.000 0.500 0.000
Ir 0.500 0.000 0.000
Au 0.000 0.000 0.500
C 0.500 0.500 0.500